(1)
# BaSnHg

Crystalline BaSnHg at its relaxed geometry (GGA-PBE, Alexandria).

The calculated formation energy comes out at -0.373 eV per atom. The space-group type is Imma (74).

Cell lengths 10.6712, 5.5552, 7.4341 Å; angles 90.00, 90.00, 90.00 degrees
Last column: nearest neighbours and their distance in Å.
Fractional positions:
1 Sn 0.5000 0.2500 0.1170  2 Hg 3.17, 2 Sn 3.28
2 Sn 0.0000 0.2500 0.3830  2 Hg 3.17, 2 Sn 3.28
3 Sn 0.5000 0.7500 0.8830  2 Hg 3.17, 2 Sn 3.28
4 Sn 0.0000 0.7500 0.6170  2 Hg 3.17, 2 Sn 3.28
5 Ba 0.7500 0.2500 0.7500  4 Hg 3.54, 2 Sn 3.82
6 Ba 0.2500 0.7500 0.2500  4 Hg 3.54, 2 Sn 3.82
7 Ba 0.7500 0.7500 0.2500  4 Hg 3.54, 2 Sn 3.82
8 Ba 0.2500 0.2500 0.7500  4 Hg 3.54, 2 Sn 3.82
9 Hg 0.0000 0.5000 0.0000  2 Hg 2.78
10 Hg 0.5000 0.5000 0.5000  2 Hg 2.78
11 Hg 0.5000 0.0000 0.5000  2 Hg 2.78
12 Hg 0.0000 0.0000 0.0000  2 Hg 2.78

***

(2)
# Y4ZnCo3

Crystalline Y4ZnCo3 at its relaxed geometry (GGA-PBE, Alexandria).

The calculated formation energy comes out at -0.208 eV per atom. The space-group type is Pmm2 (25).

Cell lengths 4.0334, 4.0278, 10.4417 Å; angles 90.00, 90.00, 90.00 degrees
Last column: nearest neighbours and their distance in Å.
Fractional positions:
1 Co 0.5000 0.0000 0.9293  2 Zn 2.46
2 Co 0.0000 0.0000 0.4501  2 Co 2.29
3 Co 0.0000 0.5000 0.5537  2 Co 2.29
4 Y 0.5000 0.0000 0.6436  7 Co 2.85-3.00
5 Y 0.0000 0.0000 0.1425  4 Zn 2.96, 3 Co 3.00-3.21
6 Y 0.5000 0.5000 0.3654  6 Co 2.82-2.98, 1 Zn 3.14
7 Y 0.0000 0.5000 0.8505  5 Co 2.97-3.10, 2 Zn 3.01
8 Zn 0.5000 0.5000 0.0650  2 Co 2.46

***

(3)
# Zr2Ge2Se7

Crystalline Zr2Ge2Se7 at its relaxed geometry (GGA-PBE, Alexandria).

The space-group type is C2/m (12). Its uncorrected formation energy is -0.6774 eV per atom.

Cell lengths 11.0924, 6.7906, 6.7906 Å; angles 116.76, 79.05, 79.05 degrees
Last column: nearest neighbours and their distance in Å.
Fractional positions:
1 Zr 0.0000 0.3276 0.6724  6 Se 2.69-2.74
2 Zr 0.0000 0.6724 0.3276  6 Se 2.69-2.74
3 Se 0.8394 0.4672 0.4672  1 Ge 2.51, 2 Zr 2.74
4 Se 0.1534 0.2899 0.9291  1 Ge 2.52, 2 Zr 2.69-2.71
5 Se 0.1606 0.5328 0.5328  1 Ge 2.51, 2 Zr 2.74
6 Se 0.5000 0.0000 0.0000  2 Ge 2.42
7 Se 0.1534 0.9291 0.2899  1 Ge 2.52, 2 Zr 2.69-2.71
8 Se 0.8466 0.7101 0.0709  1 Ge 2.52, 2 Zr 2.69-2.71
9 Se 0.8466 0.0709 0.7101  1 Ge 2.52, 2 Zr 2.69-2.71
10 Ge 0.7333 0.8443 0.8443  4 Se 2.42-2.52
11 Ge 0.2667 0.1557 0.1557  4 Se 2.42-2.52

***

(4)
# BaPtO3

Crystalline BaPtO3 at its relaxed geometry (GGA-PBE, Alexandria).

The space-group type is Pm-3m (221). Its uncorrected formation energy is 0.7076 eV per atom.

Cell lengths 4.5254, 4.5254, 4.5254 Å; angles 90.00, 90.00, 90.00 degrees
Last column: nearest neighbours and their distance in Å.
Fractional positions:
1 O 0.0000 0.5000 0.0000  2 Ba 2.26
2 O 0.0000 0.0000 0.5000  2 Ba 2.26
3 O 0.5000 0.0000 0.0000  2 Ba 2.26
4 Pt 0.5000 0.5000 0.5000  12 O 3.20
5 Ba 0.0000 0.0000 0.0000  6 O 2.26

***

(5)
# Cd2InAg

Crystalline Cd2InAg at its relaxed geometry (GGA-PBE, Alexandria).

The calculated formation energy comes out at 0.023 eV per atom. The space-group type is Pm (6).

Cell lengths 5.1131, 3.2491, 5.2527 Å; angles 89.92, 90.00, 90.00 degrees
Last column: nearest neighbours and their distance in Å.
Fractional positions:
1 Cd 0.5000 0.1251 0.2856  4 Ag 3.07-3.11, 4 Cd 3.08-3.25, 4 In 3.17
2 Cd 0.0000 0.1242 0.9584  4 In 3.05-3.13, 4 Cd 3.08-3.25, 4 Ag 3.15-3.16
3 Ag 0.5000 0.6260 0.7897  2 In 3.07, 8 Cd 3.07-3.16, 2 Ag 3.25
4 In 0.0000 0.6247 0.4663  8 Cd 3.05-3.17, 2 Ag 3.07, 2 In 3.25

***

(6)
# VCr6Re

Crystalline VCr6Re at its relaxed geometry (GGA-PBE, Alexandria).

The calculated formation energy comes out at 0.236 eV per atom. The space-group type is R-3m (166). Its relative energy among the computed polymorphs is 0 meV per atom.

Cell lengths 5.1462, 5.1462, 5.1462 Å; angles 110.46, 110.46, 110.46 degrees
Last column: nearest neighbours and their distance in Å.
Fractional positions:
1 Re 0.5000 0.5000 0.5000  2 V 2.44, 6 Cr 2.49
2 Cr 0.2485 0.7519 0.7519  6 Cr 2.44-2.59, 1 V 2.46, 1 Re 2.49
3 Cr 0.7515 0.2481 0.2481  6 Cr 2.44-2.59, 1 V 2.46, 1 Re 2.49
4 Cr 0.7519 0.2485 0.7519  6 Cr 2.44-2.59, 1 V 2.46, 1 Re 2.49
5 Cr 0.7519 0.7519 0.2485  6 Cr 2.44-2.59, 1 V 2.46, 1 Re 2.49
6 Cr 0.2481 0.2481 0.7515  6 Cr 2.44-2.59, 1 V 2.46, 1 Re 2.49
7 Cr 0.2481 0.7515 0.2481  6 Cr 2.44-2.59, 1 V 2.46, 1 Re 2.49
8 V 0.0000 0.0000 0.0000  2 Re 2.44, 6 Cr 2.46

***

(7)
# CsLaMn3

Crystalline CsLaMn3 at its relaxed geometry (GGA-PBE, Alexandria).

The calculated formation energy comes out at 1.806 eV per atom. The space-group type is Pm-3m (221). Its relative energy among the computed polymorphs is 454 meV per atom.

Cell lengths 5.2725, 5.2725, 5.2725 Å; angles 90.00, 90.00, 90.00 degrees
Last column: nearest neighbours and their distance in Å.
Fractional positions:
1 Cs 0.0000 0.0000 0.0000  6 Mn 2.64
2 Mn 0.0000 0.0000 0.5000  2 Cs 2.64
3 Mn 0.0000 0.5000 0.0000  2 Cs 2.64
4 Mn 0.5000 0.0000 0.0000  2 Cs 2.64
5 La 0.5000 0.5000 0.5000  12 Mn 3.73

***

(8)
# MgMoRu2

Crystalline MgMoRu2 at its relaxed geometry (GGA-PBE, Alexandria).

The calculated formation energy comes out at 0.202 eV per atom. The space-group type is C2/m (12).

Cell lengths 5.1840, 5.1030, 2.7464 Å; angles 77.21, 84.61, 118.86 degrees
Last column: nearest neighbours and their distance in Å.
Fractional positions:
1 Mo 0.5000 0.5000 0.0000  4 Ru 2.62, 2 Mo 2.75, 2 Mg 2.82
2 Ru 0.5000 0.0000 0.5000  2 Mg 2.62, 2 Mo 2.62, 4 Ru 2.75-2.82
3 Ru 0.0000 0.0000 0.0000  2 Mo 2.62, 2 Mg 2.62, 4 Ru 2.75-2.82
4 Mg 0.0000 0.5000 0.5000  4 Ru 2.62, 2 Mg 2.75, 2 Mo 2.82

***

(9)
# Cr3As2

Crystalline Cr3As2 at its relaxed geometry (GGA-PBE, Alexandria).

The calculated formation energy comes out at 0.055 eV per atom. The space-group type is Fdd2 (43). Its relative energy among the computed polymorphs is 0 meV per atom.

Cell lengths 7.8011, 6.0833, 5.9162 Å; angles 81.09, 50.39, 48.52 degrees
Last column: nearest neighbours and their distance in Å.
Fractional positions:
1 Cr 0.8440 0.8788 0.8432  4 As 2.39-2.66, 1 Cr 2.51
2 Cr 0.1786 0.3214 0.3214  4 As 2.37-2.51, 2 Cr 2.51
3 Cr 0.3712 0.4060 0.8160  4 As 2.39-2.66, 1 Cr 2.51
4 Cr 0.4068 0.8160 0.4060  4 As 2.39-2.66, 1 Cr 2.51
5 Cr 0.4340 0.8432 0.8788  4 As 2.39-2.66, 1 Cr 2.51
6 Cr 0.9286 0.0714 0.0714  4 As 2.37-2.51, 2 Cr 2.51
7 As 0.0401 0.3661 0.8405  5 Cr 2.37-2.63
8 As 0.8839 0.2099 0.4967  5 Cr 2.37-2.63
9 As 0.4095 0.4967 0.2099  5 Cr 2.37-2.63
10 As 0.7533 0.8405 0.3661  5 Cr 2.37-2.63

***

(10)
# Li3TmU3Se8

Crystalline Li3TmU3Se8 at its relaxed geometry (GGA-PBE, Alexandria).

The space-group type is R-3m (166). Its uncorrected formation energy is -1.3028 eV per atom.

Cell lengths 8.1139, 8.1135, 8.0429 Å; angles 120.30, 90.00, 120.00 degrees
Last column: nearest neighbours and their distance in Å.
Fractional positions:
1 Se 0.7518 0.9977 0.2497  1 Tm 2.83, 2 Li 2.84, 2 U 2.87
2 Se 0.7533 0.5065 0.7597  3 Li 2.82, 3 U 2.89
3 Se 0.2482 0.0023 0.7503  1 Tm 2.83, 2 Li 2.84, 2 U 2.87
4 Se 0.2467 0.4935 0.2403  3 Li 2.82, 3 U 2.89
5 Se 0.2482 0.4964 0.7503  1 Tm 2.83, 2 Li 2.84, 2 U 2.87
6 Se 0.7518 0.5036 0.2497  1 Tm 2.83, 2 Li 2.84, 2 U 2.87
7 Se 0.7541 0.0023 0.7503  1 Tm 2.83, 2 Li 2.84, 2 U 2.87
8 Se 0.2459 0.9977 0.2497  1 Tm 2.83, 2 Li 2.84, 2 U 2.87
9 U 0.0000 0.5000 0.5000  6 Se 2.87-2.89
10 U 0.5000 0.5000 0.5000  6 Se 2.87-2.89
11 U 0.5000 0.0000 0.5000  6 Se 2.87-2.89
12 Li 0.0000 0.5000 0.0000  6 Se 2.82-2.84
13 Li 0.0000 0.0000 0.0000  6 Se 2.82-2.84
14 Li 0.5000 0.5000 0.0000  6 Se 2.82-2.84
15 Tm 0.0000 0.0000 0.5000  6 Se 2.83

***

(11)
# SrTa2Pb

Crystalline SrTa2Pb at its relaxed geometry (GGA-PBE, Alexandria).

The calculated formation energy comes out at 0.707 eV per atom. The space-group type is C2/m (12).

Cell lengths 5.8202, 5.8202, 5.8706 Å; angles 78.11, 78.11, 31.55 degrees
Last column: nearest neighbours and their distance in Å.
Fractional positions:
1 Ta 0.0196 0.0196 0.9284  2 Ta 2.73, 2 Pb 3.02
2 Ta 0.4804 0.4804 0.5716  2 Ta 2.73, 2 Pb 3.02
3 Pb 0.7500 0.7500 0.7500  4 Ta 3.02, 2 Pb 3.16, 4 Sr 3.33
4 Sr 0.2500 0.2500 0.2500  2 Sr 3.16, 4 Pb 3.33, 2 Ta 3.51

***

(12)
# RbLi2FeC

Crystalline RbLi2FeC at its relaxed geometry (GGA-PBE, Alexandria).

The calculated formation energy comes out at 2.212 eV per atom. The space-group type is P4/mmm (123).

Cell lengths 4.8518, 4.6537, 4.8518 Å; angles 90.00, 90.00, 90.00 degrees
Last column: nearest neighbours and their distance in Å.
Fractional positions:
1 Li 0.5000 0.0000 0.0000  2 Rb 2.43
2 Li 0.0000 0.0000 0.5000  2 Rb 2.43
3 Fe 0.5000 0.5000 0.5000  8 Li 3.36, 4 C 3.43
4 C 0.0000 0.5000 0.0000  2 Rb 2.33
5 Rb 0.0000 0.0000 0.0000  2 C 2.33, 4 Li 2.43